Here is an optimized crystal structure of ScZnAu2 from the Open Quantum Materials Database. Energies are from PBE.

a b c (Å): 4.6512 4.6512 4.6512
angles (deg): 60.00 60.00 60.00
Last column: nearest neighbours and their distance in Å.
Element x y z (fractional)
Au: 0.7500 0.7500 0.7500  4 Au 2.85, 4 Zn 2.85
Au: 0.0000 0.0000 0.0000  4 Au 2.85, 4 Sc 2.85
Zn: 0.5000 0.5000 0.5000  4 Sc 2.85, 4 Au 2.85
Sc: 0.2500 0.2500 0.2500  4 Zn 2.85, 4 Au 2.85

Computed properties:
ΔH_f (0 K): -0.51 eV/atom
V: 71.2 Å³ per cell

***

Here is an optimized crystal structure of Zn3H2O4 from the Open Quantum Materials Database. Energies are from PBE.

a b c (Å): 5.9740 5.9740 10.8361
angles (deg): 90.00 90.00 90.00
Last column: nearest neighbours and their distance in Å.
Element x y z (fractional)
O: 0.3327 0.7599 0.8076  1 H 1.01
O: 0.6929 0.1649 0.5713  1 H 1.60
O: 0.7401 0.1673 0.3076  1 H 1.01
O: 0.6673 0.2401 0.8076  1 H 1.01
O: 0.8071 0.6649 0.9287  1 H 1.60
O: 0.1649 0.3071 0.4287  1 H 1.60
O: 0.8327 0.7401 0.6924  1 H 1.01
O: 0.2401 0.3327 0.1924  1 H 1.01
O: 0.3351 0.8071 0.0713  1 H 1.60
O: 0.3071 0.8351 0.5713  1 H 1.60
O: 0.6649 0.1929 0.0713  1 H 1.60
O: 0.1929 0.3351 0.9287  1 H 1.60
O: 0.7599 0.6673 0.1924  1 H 1.01
O: 0.8351 0.6929 0.4287  1 H 1.60
O: 0.2599 0.8327 0.3076  1 H 1.01
O: 0.1673 0.2599 0.6924  1 H 1.01
H: 0.3070 0.7739 0.7153  1 O 1.01
H: 0.1930 0.2739 0.7847  1 O 1.01
H: 0.2739 0.8070 0.2153  1 O 1.01
H: 0.7261 0.1930 0.2153  1 O 1.01
H: 0.6930 0.2261 0.7153  1 O 1.01
H: 0.7739 0.6930 0.2847  1 O 1.01
H: 0.8070 0.7261 0.7847  1 O 1.01
H: 0.2261 0.3070 0.2847  1 O 1.01
Zn: 0.5000 0.5000 0.8280  2 O 1.86
Zn: 0.0000 0.0000 0.3280  2 O 1.86
Zn: 0.5000 0.5000 0.1720  2 O 1.86
Zn: 0.6818 0.8668 0.0503  4 O 1.94-2.11
Zn: 0.0000 0.0000 0.6720  2 O 1.86
Zn: 0.8182 0.3668 0.4497  4 O 1.94-2.11
Zn: 0.6332 0.8182 0.5503  4 O 1.94-2.11
Zn: 0.1818 0.6332 0.4497  4 O 1.94-2.11
Zn: 0.3182 0.1332 0.0503  4 O 1.94-2.11
Zn: 0.8668 0.3182 0.9497  4 O 1.94-2.11
Zn: 0.3668 0.1818 0.5503  4 O 1.94-2.11
Zn: 0.1332 0.6818 0.9497  4 O 1.94-2.11

Computed properties:
electronic total energy: -160.607 eV per cell
V: 386.7 Å³ per cell

***

Here is an optimized crystal structure of PmSc2NO2 from the Open Quantum Materials Database. Energies are from PBE.

a b c (Å): 3.2182 3.2182 8.3223
angles (deg): 90.00 90.00 120.00
Last column: nearest neighbours and their distance in Å.
Element x y z (fractional)
Sc: 0.3333 0.6667 0.6518  3 O 2.20, 3 N 2.25
Sc: 0.6667 0.3333 0.3482  3 O 2.20, 3 N 2.25
O: 0.3333 0.6667 0.2068  3 Sc 2.20
O: 0.6667 0.3333 0.7932  3 Sc 2.20
N: 0.0000 0.0000 0.5000  6 Sc 2.25
Pm: 0.0000 0.0000 0.0000  6 O 2.53

Computed properties:
electronic total energy: -51.099 eV per cell
V: 74.6 Å³ per cell

***

Here is an optimized crystal structure of Dy3Ho2Al3 from the Open Quantum Materials Database. Energies are from PBE.

a b c (Å): 5.2968 6.6111 6.6111
angles (deg): 61.39 90.00 90.00
Last column: nearest neighbours and their distance in Å.
Element x y z (fractional)
Al: 0.5000 0.1562 0.6835  4 Al 3.19-3.56, 4 Dy 3.20-3.36, 4 Ho 3.27-3.34
Al: 0.0000 0.8280 0.8280  4 Dy 3.25-3.36, 4 Ho 3.25-3.38, 4 Al 3.26
Al: 0.5000 0.6835 0.1562  4 Al 3.19-3.56, 4 Dy 3.20-3.36, 4 Ho 3.27-3.34
Dy: 0.0000 0.8429 0.3126  3 Dy 3.17-3.26, 4 Ho 3.19-3.44, 4 Al 3.20-3.36
Dy: 0.0000 0.3126 0.8429  3 Dy 3.17-3.26, 4 Ho 3.19-3.44, 4 Al 3.20-3.36
Dy: 0.5000 0.1693 0.1693  4 Al 3.25-3.36, 4 Dy 3.26, 4 Ho 3.32-3.38
Ho: 0.0000 0.3458 0.3458  6 Dy 3.19-3.44, 6 Al 3.30-3.38
Ho: 0.5000 0.6616 0.6616  6 Al 3.25-3.34, 6 Dy 3.34-3.38

Computed properties:
V: 203.2 Å³ per cell
offset from the most stable computed form: 177.0 meV/atom

***

Here is an optimized crystal structure of Dy2CCl2 from the Open Quantum Materials Database. Energies are from PBE.

a b c (Å): 9.8590 9.8590 9.8590
angles (deg): 21.70 21.70 21.70
Last column: nearest neighbours and their distance in Å.
Element x y z (fractional)
Cl: 0.7260 0.7260 0.7260  3 Dy 2.77
Cl: 0.2740 0.2740 0.2740  3 Dy 2.77
C: 0.5000 0.5000 0.5000  6 Dy 2.53
Dy: 0.1199 0.1199 0.1199  3 C 2.53, 3 Cl 2.77
Dy: 0.8801 0.8801 0.8801  3 C 2.53, 3 Cl 2.77

Computed properties:
electronic total energy: -29.750 eV per cell
V: 114.8 Å³ per cell

***

Here is an optimized crystal structure of HoScCu from the Open Quantum Materials Database. Energies are from PBE.

a b c (Å): 4.6576 4.6576 4.6576
angles (deg): 60.00 60.00 60.00
Last column: nearest neighbours and their distance in Å.
Element x y z (fractional)
Cu: 0.0000 0.0000 0.0000  4 Sc 2.85, 4 Ho 2.85
Ho: 0.2500 0.2500 0.2500  4 Cu 2.85
Sc: 0.7500 0.7500 0.7500  4 Cu 2.85

Computed properties:
ΔH_f (0 K): 0.06 eV/atom
V: 71.4 Å³ per cell
offset from the most stable computed form: 0.0 meV/atom

***

Here is an optimized crystal structure of Tl2AgAuS4 from the Open Quantum Materials Database. Energies are from PBE.

a b c (Å): 7.3046 7.3046 7.3046
angles (deg): 132.04 132.04 70.16
Last column: nearest neighbours and their distance in Å.
Element x y z (fractional)
S: 0.8730 0.8887 0.5086  1 Au 2.51, 1 Ag 2.56, 2 Tl 2.62
S: 0.6355 0.1270 0.0157  1 Au 2.51, 1 Ag 2.56, 2 Tl 2.62
S: 0.3802 0.3645 0.4914  1 Au 2.51, 1 Ag 2.56, 2 Tl 2.62
S: 0.1113 0.6198 0.9843  1 Au 2.51, 1 Ag 2.56, 2 Tl 2.62
Au: 0.7500 0.2500 0.5000  4 S 2.51
Tl: 0.2500 0.7500 0.5000  4 S 2.62
Tl: 0.5000 0.5000 0.0000  4 S 2.62
Ag: 0.0000 0.0000 0.0000  4 S 2.56

Computed properties:
electronic total energy: -28.027 eV per cell
V: 210.7 Å³ per cell

***

Here is an optimized crystal structure of Ho4InFe2Sn4 from the Open Quantum Materials Database. Energies are from PBE.

a b c (Å): 8.2478 8.2478 7.3660
angles (deg): 107.52 107.52 32.09
Last column: nearest neighbours and their distance in Å.
Element x y z (fractional)
Fe: 0.2263 0.2263 0.6314  4 Sn 2.54-2.60
Fe: 0.7737 0.7737 0.3686  4 Sn 2.54-2.60
Ho: 0.5947 0.5947 0.3997  3 Fe 2.92-3.20, 4 Sn 3.13-3.19
Ho: 0.3466 0.3466 0.0435  1 Fe 3.04, 5 Sn 3.09-3.19
Ho: 0.6534 0.6534 0.9565  1 Fe 3.04, 5 Sn 3.09-3.19
Ho: 0.4053 0.4053 0.6003  3 Fe 2.92-3.20, 4 Sn 3.13-3.19
In: 0.0000 0.0000 0.0000  4 Sn 2.98-3.20
Sn: 0.7969 0.7969 0.7338  3 Fe 2.55-2.60
Sn: 0.0730 0.0730 0.6728  1 Fe 2.54
Sn: 0.9270 0.9270 0.3272  1 Fe 2.54
Sn: 0.2031 0.2031 0.2662  3 Fe 2.55-2.60

Computed properties:
electronic total energy: -58.717 eV per cell
V: 252.8 Å³ per cell

***

Here is an optimized crystal structure of ScBe2Fe from the Open Quantum Materials Database. Energies are from PBE.

a b c (Å): 4.0936 4.0936 4.0936
angles (deg): 60.00 60.00 60.00
Last column: nearest neighbours and their distance in Å.
Element x y z (fractional)
Be: 0.7500 0.7500 0.7500  4 Be 2.51, 4 Sc 2.51
Be: 0.0000 0.0000 0.0000  4 Be 2.51, 4 Fe 2.51
Sc: 0.5000 0.5000 0.5000  4 Be 2.51, 4 Fe 2.51
Fe: 0.2500 0.2500 0.2500  4 Be 2.51, 4 Sc 2.51

Computed properties:
electronic total energy: -21.447 eV per cell
V: 48.5 Å³ per cell

***

Here is an optimized crystal structure of SmTlTe3Au from the Open Quantum Materials Database. Energies are from PBE.

a b c (Å): 8.9625 4.2745 11.0480
angles (deg): 90.00 109.93 90.00
Last column: nearest neighbours and their distance in Å.
Element x y z (fractional)
Sm: 0.3042 0.2500 0.8444  6 Te 3.12-3.16, 2 Au 3.38
Sm: 0.6958 0.7500 0.1556  6 Te 3.12-3.16, 2 Au 3.38
Au: 0.0898 0.7500 0.6133  4 Te 2.74-2.93
Au: 0.9102 0.2500 0.3867  4 Te 2.74-2.93
Te: 0.0504 0.7500 0.8487  1 Au 2.74
Te: 0.7529 0.7500 0.4543  3 Au 2.80-2.93
Te: 0.2471 0.2500 0.5457  3 Au 2.80-2.93
Te: 0.5658 0.7500 0.8557  3 Sm 3.12-3.14, 2 Tl 3.39
Te: 0.4342 0.2500 0.1443  3 Sm 3.12-3.14, 2 Tl 3.39
Te: 0.9496 0.2500 0.1513  1 Au 2.74
Tl: 0.7390 0.2500 0.7056  6 Te 3.39-3.54
Tl: 0.2610 0.7500 0.2944  6 Te 3.39-3.54

Computed properties:
V: 397.9 Å³ per cell
offset from the most stable computed form: 23.1 meV/atom

***

Summary of calculated density in Mg/m³
11.77 4.50 6.25 7.34 5.90 6.36 6.63 8.94 4.07 7.80
(order as listed above)